! Sr6MgW4O18 PBE with a Hubbard U optimized geometry; values from VASP
&SYSTEM
  ibrav = 0, nat = 29, ntyp = 4
/
ATOMIC_SPECIES
Sr 87.62 Sr.upf
Mg 24.30 Mg.upf
W 183.84 W.upf
O 16.00 O.upf
CELL_PARAMETERS angstrom
5.0707 2.9276 4.7965
-5.0707 2.9276 4.7965
0.0000 -5.8552 4.7965
ATOMIC_POSITIONS crystal
Sr 0.0000 0.3467 0.6533
Sr 0.2076 0.7924 0.5000
Sr 0.3467 0.6533 0.0000
Sr 0.5000 0.2076 0.7924
Sr 0.6533 0.0000 0.3467
Sr 0.7924 0.5000 0.2076
Mg 0.5000 0.5000 0.5000
W 0.0862 0.0862 0.0862
W 0.2765 0.2765 0.2765
W 0.7235 0.7235 0.7235
W 0.9138 0.9138 0.9138
O 0.0000 0.8389 0.1611
O 0.0395 0.1422 0.3361
O 0.1422 0.3361 0.0395
O 0.1611 0.0000 0.8389
O 0.1628 0.4865 0.3493
O 0.3080 0.5000 0.6920
O 0.3361 0.0395 0.1422
O 0.3493 0.1628 0.4865
O 0.4865 0.3493 0.1628
O 0.5000 0.6920 0.3080
O 0.5135 0.8372 0.6507
O 0.6507 0.5135 0.8372
O 0.6639 0.8578 0.9605
O 0.6920 0.3080 0.5000
O 0.8372 0.6507 0.5135
O 0.8389 0.1611 0.0000
O 0.8578 0.9605 0.6639
O 0.9605 0.6639 0.8578
! size of the total moment: 0.0 μB per cell
! E: -6.763 eV per atom
! ΔE to the lowest computed polymorph: 5.676 kcal/mol of atoms